a.
The following is a DFT calculation (GGA-PBE) of a relaxed structure of Sm4HoEr.

- D(E_F) (states/eV/atom) = 1.60

```
Sm4HoEr
1.0
6.613 0.000 0.000
3.306 5.727 0.000
3.306 1.909 5.399
Sm Ho Er
4 1 1
Direct
0.625 0.125 0.625 Sm
0.125 0.625 0.625 Sm
0.625 0.625 0.125 Sm
0.625 0.625 0.625 Sm
0.250 0.250 0.250 Ho
0.000 0.000 0.000 Er
```


b.
The following is a DFT calculation (GGA-PBE) of a relaxed structure of Sm4HoEr.

- D(E_F) (states/eV/atom) = 1.58

```
Sm4HoEr
1.0
3.453 0.000 0.000
0.000 8.221 -0.008
0.000 0.006 8.221
Sm Er Ho
4 1 1
Direct
0.500 0.261 0.739 Sm
0.500 0.739 0.261 Sm
0.000 0.240 0.240 Sm
0.000 0.760 0.760 Sm
0.000 0.500 0.500 Er
0.500 0.000 0.000 Ho
```


c.
The following is a DFT calculation (GGA-PBE) of a relaxed structure of Sm4HoEr.

- D(E_F) (states/eV/atom) = 1.41

```
Sm4HoEr
1.0
3.588 -0.008 -0.012
-1.779 7.695 -5.272
-0.016 -5.240 10.707
Ho Sm Er
1 4 1
Direct
0.000 0.000 0.000 Ho
0.333 0.665 0.999 Sm
0.834 0.666 0.499 Sm
0.166 0.333 0.501 Sm
0.667 0.335 0.001 Sm
0.500 0.000 0.500 Er
```


Which of them is most stable, and which least? Most stable: c; least stable: b.


a.
The following is a DFT calculation (GGA-PBE) of a relaxed structure of Sm3HoEr5.

- D(E_F) (states/eV/atom) = 1.33

```
Sm3HoEr5
1.0
9.343 -0.003 1.540
2.555 8.987 1.540
5.603 4.230 9.167
Sm Er Ho
6 10 2
Direct
0.341 0.341 0.635 Sm
0.298 0.298 0.192 Sm
0.702 0.702 0.808 Sm
0.000 0.000 0.000 Sm
0.659 0.659 0.365 Sm
0.000 0.000 0.500 Sm
0.343 0.844 0.249 Er
0.509 0.509 0.774 Er
0.844 0.343 0.249 Er
0.491 0.491 0.226 Er
0.657 0.156 0.751 Er
0.741 0.259 0.000 Er
0.187 0.187 0.035 Er
0.156 0.657 0.751 Er
0.813 0.813 0.965 Er
0.259 0.741 0.000 Er
0.851 0.851 0.397 Ho
0.149 0.149 0.603 Ho
```


b.
The following is a DFT calculation (GGA-PBE) of a relaxed structure of Sm3HoEr5.

- D(E_F) (states/eV/atom) = 1.37

```
Sm3HoEr5
1.0
6.288 0.000 0.000
-3.144 10.780 -5.442
0.000 -3.840 10.812
Sm Er Ho
6 10 2
Direct
0.481 0.307 0.289 Sm
0.000 0.000 0.000 Sm
0.174 0.693 0.211 Sm
0.519 0.693 0.711 Sm
0.000 0.000 0.500 Sm
0.826 0.307 0.789 Sm
0.002 0.661 0.551 Er
0.601 0.000 0.250 Er
0.399 0.000 0.750 Er
0.659 0.661 0.051 Er
0.544 0.649 0.373 Er
0.105 0.649 0.873 Er
0.456 0.351 0.627 Er
0.341 0.339 0.949 Er
0.895 0.351 0.127 Er
0.998 0.339 0.449 Er
0.120 0.000 0.250 Ho
0.880 0.000 0.750 Ho
```


Which of them is most stable, and which least? Most stable: b; least stable: a.